(1)
Computed, not measured: crystalline MgGe4 at its relaxed geometry at the PBE level of DFT.

## Properties
The final energy is -3.22 eV/atom. The space-group type is Pm-3m.

Structure (extended XYZ):
```
5
Lattice="4.976 0.000 0.000 0.000 4.976 0.000 0.000 0.000 4.976" Properties=species:S:1:pos:R:3 pbc="T T T"
Mg 0.000 0.000 0.000
Ge 0.000 0.000 2.488
Ge 0.000 2.488 0.000
Ge 2.488 0.000 0.000
Ge 2.488 2.488 2.488
```

---

(2)
Computed, not measured: crystalline MgGe at its relaxed geometry at the PBE level of DFT.

## Properties
The final energy is -2.95 eV/atom. The space-group type is Fm-3m.

Structure (extended XYZ):
```
2
Lattice="0.000 2.794 2.794 2.794 0.000 2.794 2.794 2.794 0.000" Properties=species:S:1:pos:R:3 pbc="T T T"
Mg 0.000 0.000 0.000
Ge 2.794 2.794 2.794
```

---

(3)
Computed, not measured: crystalline MgGe at its relaxed geometry at the PBE level of DFT.

## Properties
The final energy is -3.04 eV/atom. The space-group type is P4/m.

Structure (extended XYZ):
```
16
Lattice="10.365 0.000 0.000 0.000 10.365 0.000 0.000 0.000 3.880" Properties=species:S:1:pos:R:3 pbc="T T T"
Mg 1.091 7.145 0.000
Mg 3.220 1.091 0.000
Mg 3.612 6.633 1.940
Mg 3.732 3.612 1.940
Mg 6.633 6.753 1.940
Mg 6.753 3.732 1.940
Mg 7.145 9.274 0.000
Mg 9.274 3.220 0.000
Ge 1.345 4.990 1.940
Ge 1.566 3.294 0.000
Ge 3.294 8.800 0.000
Ge 4.990 9.020 1.940
Ge 5.375 1.345 1.940
Ge 7.072 1.566 0.000
Ge 8.800 7.072 0.000
Ge 9.020 5.375 1.940
```